(1)
# TbMgHgBi

A relaxed TbMgHgBi crystal (PBE, Alexandria).

```
data_TbMgHgBi
_cell_length_a 7.506
_cell_length_b 7.506
_cell_length_c 7.506
_cell_angle_alpha 90.00
_cell_angle_beta 90.00
_cell_angle_gamma 90.00
_symmetry_space_group_name_H-M 'F -4 3 m'
_symmetry_Int_Tables_number 216
_symmetry_space_group_name_Hall 'F -4 2 3'
loop_
_atom_site_label
_atom_site_type_symbol
_atom_site_fract_x
_atom_site_fract_y
_atom_site_fract_z
Tb1 Tb 0.000 0.000 0.000
Mg1 Mg 0.000 0.000 0.500
Hg1 Hg 0.250 0.250 0.250
Bi1 Bi 0.250 0.250 0.750
```

DFT formation energy   -335 meV per atom

=====

(2)
# MgTlHgBi

A relaxed MgTlHgBi crystal (PBE, Alexandria).

```
data_MgTlHgBi
_cell_length_a 7.669
_cell_length_b 7.669
_cell_length_c 7.669
_cell_angle_alpha 90.00
_cell_angle_beta 90.00
_cell_angle_gamma 90.00
_symmetry_space_group_name_H-M 'F -4 3 m'
_symmetry_Int_Tables_number 216
_symmetry_space_group_name_Hall 'F -4 2 3'
loop_
_atom_site_label
_atom_site_type_symbol
_atom_site_fract_x
_atom_site_fract_y
_atom_site_fract_z
Mg1 Mg 0.000 0.000 0.000
Tl1 Tl 0.000 0.000 0.500
Hg1 Hg 0.250 0.250 0.250
Bi1 Bi 0.250 0.250 0.750
```

DFT formation energy   -67 meV per atom